Version a
# GGA-PBE InCu2Ni2, optimized geometry
# Size of the total moment: 0.0 Bohr magnetons per cell
data_InCu2Ni2
_space_group_name_H-M_alt 'P -3 m 1'
_space_group_IT_number 164
_space_group_name_Hall '-P 3 2"'
_cell_length_a 4.1982
_cell_length_b 4.1982
_cell_length_c 4.8425
_cell_angle_alpha 90.00
_cell_angle_beta 90.00
_cell_angle_gamma 120.00
loop_
_atom_site_label
_atom_site_type_symbol
_atom_site_fract_x
_atom_site_fract_y
_atom_site_fract_z
In1 In 0.0000 0.0000 0.0000
Cu1 Cu 0.3333 0.6667 0.3626
Ni1 Ni 0.3333 0.6667 0.8529


Version b
# GGA-PBE InCu2Ni2, optimized geometry
# Size of the total moment: 0.0 Bohr magnetons per cell
data_InCu2Ni2
_space_group_name_H-M_alt 'I 4/m m m'
_space_group_IT_number 139
_space_group_name_Hall '-I 4 2'
_cell_length_a 3.562
_cell_length_b 3.562
_cell_length_c 11.268
_cell_angle_alpha 90.00
_cell_angle_beta 90.00
_cell_angle_gamma 90.00
loop_
_atom_site_label
_atom_site_type_symbol
_atom_site_fract_x
_atom_site_fract_y
_atom_site_fract_z
In1 In 0.000 0.000 0.000
Cu1 Cu 0.000 0.000 0.394
Ni1 Ni 0.000 0.500 0.250


Version c
# GGA-PBE InCu2Ni2, optimized geometry
# Size of the total moment: 0.0 Bohr magnetons per cell
data_InCu2Ni2
_space_group_name_H-M_alt 'P 4/m b m'
_space_group_IT_number 127
_space_group_name_Hall '-P 4 2ab'
_cell_length_a 6.797
_cell_length_b 6.797
_cell_length_c 2.948
_cell_angle_alpha 90.00
_cell_angle_beta 90.00
_cell_angle_gamma 90.00
loop_
_atom_site_label
_atom_site_type_symbol
_atom_site_fract_x
_atom_site_fract_y
_atom_site_fract_z
In1 In 0.000 0.000 0.000
Cu1 Cu 0.164 0.336 0.500
Ni1 Ni 0.128 0.628 0.000


Version d
# GGA-PBE InCu2Ni2, optimized geometry
# Size of the total moment: 0.0 Bohr magnetons per cell
data_InCu2Ni2
_space_group_name_H-M_alt 'P 4/m b m'
_space_group_IT_number 127
_space_group_name_Hall '-P 4 2ab'
_cell_length_a 6.891
_cell_length_b 6.891
_cell_length_c 2.841
_cell_angle_alpha 90.00
_cell_angle_beta 90.00
_cell_angle_gamma 90.00
loop_
_atom_site_label
_atom_site_type_symbol
_atom_site_fract_x
_atom_site_fract_y
_atom_site_fract_z
In1 In 0.000 0.000 0.000
Cu1 Cu 0.125 0.375 0.000
Ni1 Ni 0.170 0.670 0.500


According to the calculations, the structures order from most to least stable as version d, version c, version a, version b.


Version a
# GGA-PBE InCuNi, optimized geometry
# Size of the total moment: 0.0 Bohr magnetons per cell
data_InCuNi
_space_group_name_H-M_alt 'P 3 m 1'
_space_group_IT_number 156
_cell_length_a 2.9843
_cell_length_b 2.9843
_cell_length_c 6.0368
_cell_angle_alpha 90.00
_cell_angle_beta 90.00
_cell_angle_gamma 120.00
loop_
_space_group_symop_operation_xyz
'x,y,z'
'-y,x-y,z'
'-x+y,-x,z'
'-y,-x,z'
'-x+y,y,z'
'x,x-y,z'
loop_
_atom_site_label
_atom_site_type_symbol
_atom_site_fract_x
_atom_site_fract_y
_atom_site_fract_z
In1 In 0.0000 0.0000 0.0000
Cu1 Cu 0.3333 0.6667 0.6342
Ni1 Ni 0.6667 0.3333 0.3377


Version b
# GGA-PBE InCuNi, optimized geometry
# Size of the total moment: 0.0 Bohr magnetons per cell
data_InCuNi
_space_group_name_H-M_alt 'P 3 m 1'
_space_group_IT_number 156
_cell_length_a 4.2301
_cell_length_b 4.2301
_cell_length_c 2.8584
_cell_angle_alpha 90.00
_cell_angle_beta 90.00
_cell_angle_gamma 120.00
loop_
_space_group_symop_operation_xyz
'x,y,z'
'-y,x-y,z'
'-x+y,-x,z'
'-y,-x,z'
'-x+y,y,z'
'x,x-y,z'
loop_
_atom_site_label
_atom_site_type_symbol
_atom_site_fract_x
_atom_site_fract_y
_atom_site_fract_z
In1 In 0.0000 0.0000 0.0000
Cu1 Cu 0.3333 0.6667 0.5582
Ni1 Ni 0.6667 0.3333 0.4566


Version c
# GGA-PBE InCuNi, optimized geometry
# Size of the total moment: 0.0 Bohr magnetons per cell
data_InCuNi
_space_group_name_H-M_alt 'I 4 m m'
_space_group_IT_number 107
_space_group_name_Hall 'I 4 -2'
_cell_length_a 3.151
_cell_length_b 3.151
_cell_length_c 8.805
_cell_angle_alpha 90.00
_cell_angle_beta 90.00
_cell_angle_gamma 90.00
loop_
_atom_site_label
_atom_site_type_symbol
_atom_site_fract_x
_atom_site_fract_y
_atom_site_fract_z
In1 In 0.000 0.000 0.000
Cu1 Cu 0.000 0.000 0.685
Ni1 Ni 0.000 0.000 0.324


According to the calculations, the structures order from most to least stable as version c, version b, version a.


Version a
# GGA-PBE In3CuNi, optimized geometry
# Size of the total moment: 0.0 Bohr magnetons per cell
data_In3CuNi
_space_group_name_H-M_alt 'P m -3 m'
_space_group_IT_number 221
_space_group_name_Hall '-P 4 2 3'
_cell_length_a 4.904
_cell_length_b 4.904
_cell_length_c 4.904
_cell_angle_alpha 90.00
_cell_angle_beta 90.00
_cell_angle_gamma 90.00
loop_
_atom_site_label
_atom_site_type_symbol
_atom_site_fract_x
_atom_site_fract_y
_atom_site_fract_z
In1 In 0.000 0.000 0.500
Cu1 Cu 0.500 0.500 0.500
Ni1 Ni 0.000 0.000 0.000


Version b
# GGA-PBE In3CuNi, optimized geometry
# Size of the total moment: 0.0 Bohr magnetons per cell
data_In3CuNi
_space_group_name_H-M_alt 'C 1 2/c 1'
_space_group_IT_number 15
_cell_length_a 13.685
_cell_length_b 13.389
_cell_length_c 4.417
_cell_angle_alpha 90.00
_cell_angle_beta 108.71
_cell_angle_gamma 90.00
loop_
_space_group_symop_operation_xyz
'x,y,z'
'-x,-y,-z'
'-x,y,-z+1/2'
'x,-y,z+1/2'
'x+1/2,y+1/2,z'
'-x+1/2,-y+1/2,-z'
'-x+1/2,y+1/2,-z+1/2'
'x+1/2,-y+1/2,z+1/2'
loop_
_atom_site_label
_atom_site_type_symbol
_atom_site_fract_x
_atom_site_fract_y
_atom_site_fract_z
In1 In 0.116 0.086 0.368
In2 In 0.119 0.415 0.368
In3 In 0.130 0.245 0.881
Cu1 Cu 0.248 0.073 0.000
Ni1 Ni 0.000 0.251 0.250
Ni2 Ni 0.000 0.397 0.750


According to the calculations, the structures order from most to least stable as version b, version a.


Version a
# GGA-PBE InCuNi3, optimized geometry
# Size of the total moment: 0.0 Bohr magnetons per cell
data_InCuNi3
_space_group_name_H-M_alt 'P m -3 m'
_space_group_IT_number 221
_space_group_name_Hall '-P 4 2 3'
_cell_length_a 4.318
_cell_length_b 4.318
_cell_length_c 4.318
_cell_angle_alpha 90.00
_cell_angle_beta 90.00
_cell_angle_gamma 90.00
loop_
_atom_site_label
_atom_site_type_symbol
_atom_site_fract_x
_atom_site_fract_y
_atom_site_fract_z
In1 In 0.000 0.000 0.000
Cu1 Cu 0.500 0.500 0.500
Ni1 Ni 0.000 0.500 0.500


Version b
# GGA-PBE InCuNi3, optimized geometry
# Size of the total moment: 0.0 Bohr magnetons per cell
data_InCuNi3
_space_group_name_H-M_alt 'P 63/m m c'
_space_group_IT_number 194
_space_group_name_Hall '-P 6c 2c'
_cell_length_a 5.9212
_cell_length_b 5.9212
_cell_length_c 4.6657
_cell_angle_alpha 90.00
_cell_angle_beta 90.00
_cell_angle_gamma 120.00
loop_
_atom_site_label
_atom_site_type_symbol
_atom_site_fract_x
_atom_site_fract_y
_atom_site_fract_z
In1 In 0.3333 0.6667 0.2500
Cu1 Cu 0.0000 0.0000 0.0000
Ni1 Ni 0.1998 0.3996 0.7500


According to the calculations, the structures order from most to least stable as version b, version a.


Version a
# GGA-PBE In3CuO, optimized geometry
# Size of the total moment: 0.0 Bohr magnetons per cell
data_In3CuO
_space_group_name_H-M_alt 'P m -3 m'
_space_group_IT_number 221
_space_group_name_Hall '-P 4 2 3'
_cell_length_a 4.761
_cell_length_b 4.761
_cell_length_c 4.761
_cell_angle_alpha 90.00
_cell_angle_beta 90.00
_cell_angle_gamma 90.00
loop_
_atom_site_label
_atom_site_type_symbol
_atom_site_fract_x
_atom_site_fract_y
_atom_site_fract_z
In1 In 0.000 0.000 0.500
Cu1 Cu 0.500 0.500 0.500
O1 O 0.000 0.000 0.000


Version b
# GGA-PBE In3CuO, optimized geometry
# Size of the total moment: 0.0 Bohr magnetons per cell
data_In3CuO
_space_group_name_H-M_alt 'P m -3 m'
_space_group_IT_number 221
_space_group_name_Hall '-P 4 2 3'
_cell_length_a 4.907
_cell_length_b 4.907
_cell_length_c 4.907
_cell_angle_alpha 90.00
_cell_angle_beta 90.00
_cell_angle_gamma 90.00
loop_
_atom_site_label
_atom_site_type_symbol
_atom_site_fract_x
_atom_site_fract_y
_atom_site_fract_z
In1 In 0.000 0.000 0.500
Cu1 Cu 0.000 0.000 0.000
O1 O 0.500 0.500 0.500


According to the calculations, the structures order from most to least stable as version a, version b.


Version a
# GGA-PBE InCu3O, optimized geometry
# Size of the total moment: 0.0 Bohr magnetons per cell
data_InCu3O
_space_group_name_H-M_alt 'P m -3 m'
_space_group_IT_number 221
_space_group_name_Hall '-P 4 2 3'
_cell_length_a 4.135
_cell_length_b 4.135
_cell_length_c 4.135
_cell_angle_alpha 90.00
_cell_angle_beta 90.00
_cell_angle_gamma 90.00
loop_
_atom_site_label
_atom_site_type_symbol
_atom_site_fract_x
_atom_site_fract_y
_atom_site_fract_z
In1 In 0.000 0.000 0.000
Cu1 Cu 0.000 0.500 0.500
O1 O 0.500 0.500 0.500


Version b
# GGA-PBE InCu3O, optimized geometry
# Size of the total moment: 0.0 Bohr magnetons per cell
data_InCu3O
_space_group_name_H-M_alt 'P m -3 m'
_space_group_IT_number 221
_space_group_name_Hall '-P 4 2 3'
_cell_length_a 4.805
_cell_length_b 4.805
_cell_length_c 4.805
_cell_angle_alpha 90.00
_cell_angle_beta 90.00
_cell_angle_gamma 90.00
loop_
_atom_site_label
_atom_site_type_symbol
_atom_site_fract_x
_atom_site_fract_y
_atom_site_fract_z
In1 In 0.000 0.000 0.000
Cu1 Cu 0.000 0.000 0.500
O1 O 0.500 0.500 0.500


According to the calculations, the structures order from most to least stable as version a, version b.


Version a
# GGA-PBE InCu3P, optimized geometry
# Size of the total moment: 0.0 Bohr magnetons per cell
data_InCu3P
_space_group_name_H-M_alt 'P m -3 m'
_space_group_IT_number 221
_space_group_name_Hall '-P 4 2 3'
_cell_length_a 4.464
_cell_length_b 4.464
_cell_length_c 4.464
_cell_angle_alpha 90.00
_cell_angle_beta 90.00
_cell_angle_gamma 90.00
loop_
_atom_site_label
_atom_site_type_symbol
_atom_site_fract_x
_atom_site_fract_y
_atom_site_fract_z
In1 In 0.000 0.000 0.000
Cu1 Cu 0.000 0.500 0.500
P1 P 0.500 0.500 0.500


Version b
# GGA-PBE InCu3P, optimized geometry
# Size of the total moment: 0.0 Bohr magnetons per cell
data_InCu3P
_space_group_name_H-M_alt 'P m -3 m'
_space_group_IT_number 221
_space_group_name_Hall '-P 4 2 3'
_cell_length_a 4.767
_cell_length_b 4.767
_cell_length_c 4.767
_cell_angle_alpha 90.00
_cell_angle_beta 90.00
_cell_angle_gamma 90.00
loop_
_atom_site_label
_atom_site_type_symbol
_atom_site_fract_x
_atom_site_fract_y
_atom_site_fract_z
In1 In 0.000 0.000 0.000
Cu1 Cu 0.000 0.000 0.500
P1 P 0.500 0.500 0.500


According to the calculations, the structures order from most to least stable as version a, version b.


Version a
# GGA-PBE In3CuP, optimized geometry
# Size of the total moment: 0.0 Bohr magnetons per cell
data_In3CuP
_space_group_name_H-M_alt 'P m -3 m'
_space_group_IT_number 221
_space_group_name_Hall '-P 4 2 3'
_cell_length_a 5.007
_cell_length_b 5.007
_cell_length_c 5.007
_cell_angle_alpha 90.00
_cell_angle_beta 90.00
_cell_angle_gamma 90.00
loop_
_atom_site_label
_atom_site_type_symbol
_atom_site_fract_x
_atom_site_fract_y
_atom_site_fract_z
In1 In 0.000 0.000 0.500
Cu1 Cu 0.000 0.000 0.000
P1 P 0.500 0.500 0.500


Version b
# GGA-PBE In3CuP, optimized geometry
# Size of the total moment: 0.0 Bohr magnetons per cell
data_In3CuP
_space_group_name_H-M_alt 'P m -3 m'
_space_group_IT_number 221
_space_group_name_Hall '-P 4 2 3'
_cell_length_a 5.229
_cell_length_b 5.229
_cell_length_c 5.229
_cell_angle_alpha 90.00
_cell_angle_beta 90.00
_cell_angle_gamma 90.00
loop_
_atom_site_label
_atom_site_type_symbol
_atom_site_fract_x
_atom_site_fract_y
_atom_site_fract_z
In1 In 0.000 0.000 0.500
Cu1 Cu 0.500 0.500 0.500
P1 P 0.000 0.000 0.000


According to the calculations, the structures order from most to least stable as version a, version b.